(1)
This record from the Alexandria database describes a geometry-optimized PmGa2Te structure. The functional is PBE-GGA.

Values from the calculation:
* final energy: -0.142 hartree per atom
* total moment: 0.000 μB per formula unit
* formation energy (no corrections): -1.500 eV per formula unit
* mass density: 7.075 g/cm³
* calculated volume: 24.18 Å³/atom

CIF file:
```
data_PmGa2Te
_space_group_name_H-M_alt 'P 4/m m m'
_space_group_IT_number 123
_space_group_name_Hall '-P 4 2'
_cell_length_a 3.876
_cell_length_b 3.876
_cell_length_c 6.436
_cell_angle_alpha 90.00
_cell_angle_beta 90.00
_cell_angle_gamma 90.00
loop_
_atom_site_label
_atom_site_fract_x
_atom_site_fract_y
_atom_site_fract_z
Pm1 0.000 0.000 0.000
Ga1 0.500 0.500 0.273
Te1 0.000 0.000 0.500
```

=====

(2)
This record from the Alexandria database describes a geometry-optimized Pm4GaTe structure. The functional is PBE-GGA.

Values from the calculation:
* final energy: -0.178 hartree per atom
* total moment: 0.000 μB per formula unit
* formation energy (no corrections): -3.941 eV per formula unit
* mass density: 7.327 g/cm³
* calculated volume: 29.36 Å³/atom

CIF file:
```
data_Pm4GaTe
_space_group_name_H-M_alt 'P 1 21/m 1'
_space_group_IT_number 11
_cell_length_a 6.221
_cell_length_b 6.517
_cell_length_c 8.694
_cell_angle_alpha 90.00
_cell_angle_beta 91.70
_cell_angle_gamma 90.00
loop_
_space_group_symop_operation_xyz
'x,y,z'
'-x,-y,-z'
'-x,y+1/2,-z'
'x,-y+1/2,z'
loop_
_atom_site_label
_atom_site_fract_x
_atom_site_fract_y
_atom_site_fract_z
Pm1 0.114 0.250 0.353
Pm2 0.161 0.750 0.057
Pm3 0.359 0.005 0.691
Ga1 0.212 0.750 0.397
Te1 0.333 0.250 0.029
```

=====

(3)
This record from the Alexandria database describes a geometry-optimized Pm2GaTe structure. The functional is PBE-GGA.

Values from the calculation:
* final energy: -0.174 hartree per atom
* total moment: 0.001 μB per formula unit
* formation energy (no corrections): -3.292 eV per formula unit
* mass density: 6.678 g/cm³
* calculated volume: 30.29 Å³/atom

CIF file:
```
data_Pm2GaTe
_space_group_name_H-M_alt 'R 3 m'
_space_group_IT_number 160
_space_group_name_Hall 'R 3 -2"'
_cell_length_a 4.1287
_cell_length_b 4.1287
_cell_length_c 24.6242
_cell_angle_alpha 90.00
_cell_angle_beta 90.00
_cell_angle_gamma 120.00
loop_
_atom_site_label
_atom_site_fract_x
_atom_site_fract_y
_atom_site_fract_z
Pm1 0.0000 0.0000 0.0000
Pm2 0.0000 0.0000 0.1651
Ga1 0.0000 0.0000 0.7501
Te1 0.0000 0.0000 0.5813
```

=====

(4)
This record from the Alexandria database describes a geometry-optimized Pm2GaTe structure. The functional is PBE-GGA.

Values from the calculation:
* final energy: -0.170 hartree per atom
* total moment: 0.001 μB per formula unit
* formation energy (no corrections): -2.813 eV per formula unit
* mass density: 7.386 g/cm³
* calculated volume: 27.39 Å³/atom

CIF file:
```
data_Pm2GaTe
_space_group_name_H-M_alt 'F m -3 m'
_space_group_IT_number 225
_space_group_name_Hall '-F 4 2 3'
_cell_length_a 7.596
_cell_length_b 7.596
_cell_length_c 7.596
_cell_angle_alpha 90.00
_cell_angle_beta 90.00
_cell_angle_gamma 90.00
loop_
_atom_site_label
_atom_site_fract_x
_atom_site_fract_y
_atom_site_fract_z
Pm1 0.250 0.250 0.250
Ga1 0.000 0.000 0.000
Te1 0.000 0.000 0.500
```

=====

(5)
This record from the Alexandria database describes a geometry-optimized Pm4GaTe structure. The functional is PBE-GGA.

Values from the calculation:
* final energy: -0.179 hartree per atom
* total moment: 0.582 μB per formula unit
* formation energy (no corrections): -3.991 eV per formula unit
* mass density: 7.329 g/cm³
* calculated volume: 29.35 Å³/atom

CIF file:
```
data_Pm4GaTe
_space_group_name_H-M_alt 'P n m a'
_space_group_IT_number 62
_cell_length_a 8.467
_cell_length_b 4.209
_cell_length_c 19.767
_cell_angle_alpha 90.00
_cell_angle_beta 90.00
_cell_angle_gamma 90.00
loop_
_space_group_symop_operation_xyz
'x,y,z'
'-x,-y,-z'
'-x+1/2,-y,z+1/2'
'x+1/2,y,-z+1/2'
'x+1/2,-y+1/2,-z+1/2'
'-x+1/2,y+1/2,z+1/2'
'-x,y+1/2,-z'
'x,-y+1/2,z'
loop_
_atom_site_label
_atom_site_fract_x
_atom_site_fract_y
_atom_site_fract_z
Pm1 0.003 0.250 0.069
Pm2 0.020 0.750 0.222
Pm3 0.139 0.750 0.438
Pm4 0.152 0.750 0.650
Ga1 0.235 0.250 0.543
Te1 0.229 0.250 0.313
```

=====

(6)
This record from the Alexandria database describes a geometry-optimized Pm5Ga2Te2 structure. The functional is PBE-GGA.

Values from the calculation:
* final energy: -0.182 hartree per atom
* total moment: 0.014 μB per formula unit
* formation energy (no corrections): -8.451 eV per formula unit
* mass density: 7.176 g/cm³
* calculated volume: 28.79 Å³/atom

CIF file:
```
data_Pm5Ga2Te2
_space_group_name_H-M_alt 'C m c e'
_space_group_IT_number 64
_space_group_name_Hall '-C 2ac 2'
_cell_length_a 15.767
_cell_length_b 8.095
_cell_length_c 8.120
_cell_angle_alpha 90.00
_cell_angle_beta 90.00
_cell_angle_gamma 90.00
loop_
_atom_site_label
_atom_site_fract_x
_atom_site_fract_y
_atom_site_fract_z
Pm1 0.000 0.000 0.000
Pm2 0.131 0.171 0.331
Ga1 0.000 0.122 0.620
Te1 0.204 0.000 0.000
```

=====

(7)
This record from the Alexandria database describes a geometry-optimized Pm6GaTe5 structure. The functional is PBE-GGA.

Values from the calculation:
* final energy: -0.193 hartree per atom
* total moment: 0.000 μB per formula unit
* formation energy (no corrections): -15.905 eV per formula unit
* mass density: 6.998 g/cm³
* calculated volume: 31.20 Å³/atom

CIF file:
```
data_Pm6GaTe5
_space_group_name_H-M_alt 'C 1 2/m 1'
_space_group_IT_number 12
_cell_length_a 7.731
_cell_length_b 13.319
_cell_length_c 7.709
_cell_angle_alpha 90.00
_cell_angle_beta 109.41
_cell_angle_gamma 90.00
loop_
_space_group_symop_operation_xyz
'x,y,z'
'-x,-y,-z'
'-x,y,-z'
'x,-y,z'
'x+1/2,y+1/2,z'
'-x+1/2,-y+1/2,-z'
'-x+1/2,y+1/2,-z'
'x+1/2,-y+1/2,z'
loop_
_atom_site_label
_atom_site_fract_x
_atom_site_fract_y
_atom_site_fract_z
Pm1 0.231 0.000 0.259
Pm2 0.234 0.157 0.736
Ga1 0.000 0.000 0.500
Te1 0.000 0.174 0.000
Te2 0.000 0.335 0.500
Te3 0.000 0.500 0.000
```

=====

(8)
This record from the Alexandria database describes a geometry-optimized PmGaTe4 structure. The functional is PBE-GGA.

Values from the calculation:
* final energy: -0.145 hartree per atom
* total moment: 0.000 μB per formula unit
* formation energy (no corrections): -3.275 eV per formula unit
* mass density: 5.819 g/cm³
* calculated volume: 34.49 Å³/atom

CIF file:
```
data_PmGaTe4
_space_group_name_H-M_alt 'P 1 21/m 1'
_space_group_IT_number 11
_cell_length_a 6.511
_cell_length_b 9.919
_cell_length_c 6.547
_cell_angle_alpha 90.00
_cell_angle_beta 101.82
_cell_angle_gamma 90.00
loop_
_space_group_symop_operation_xyz
'x,y,z'
'-x,-y,-z'
'-x,y+1/2,-z'
'x,-y+1/2,z'
loop_
_atom_site_label
_atom_site_fract_x
_atom_site_fract_y
_atom_site_fract_z
Pm1 0.097 0.250 0.103
Ga1 0.444 0.750 0.444
Te1 0.161 0.250 0.603
Te2 0.211 0.557 0.214
Te3 0.403 0.750 0.837
```

=====

(9)
This record from the Alexandria database describes a geometry-optimized Pm10Ga3Te3 structure. The functional is PBE-GGA.

Values from the calculation:
* final energy: -0.180 hartree per atom
* total moment: 0.000 μB per formula unit
* formation energy (no corrections): -12.161 eV per formula unit
* mass density: 7.270 g/cm³
* calculated volume: 29.15 Å³/atom

CIF file:
```
data_Pm10Ga3Te3
_space_group_name_H-M_alt 'P -6 2 m'
_space_group_IT_number 189
_space_group_name_Hall 'P -6 -2'
_cell_length_a 9.0895
_cell_length_b 9.0895
_cell_length_c 6.5189
_cell_angle_alpha 90.00
_cell_angle_beta 90.00
_cell_angle_gamma 120.00
loop_
_atom_site_label
_atom_site_fract_x
_atom_site_fract_y
_atom_site_fract_z
Pm1 0.0000 0.2449 0.0000
Pm2 0.0000 0.7574 0.5000
Pm3 0.3333 0.6667 0.2556
Ga1 0.0000 0.3904 0.5000
Te1 0.0000 0.6103 0.0000
```

=====

(10)
This record from the Alexandria database describes a geometry-optimized Pm4GaTe3 structure. The functional is PBE-GGA.

Values from the calculation:
* final energy: -0.191 hartree per atom
* total moment: 0.000 μB per formula unit
* formation energy (no corrections): -10.050 eV per formula unit
* mass density: 6.922 g/cm³
* calculated volume: 30.96 Å³/atom

CIF file:
```
data_Pm4GaTe3
_space_group_name_H-M_alt 'P 1 2/c 1'
_space_group_IT_number 13
_cell_length_a 7.711
_cell_length_b 8.910
_cell_length_c 7.647
_cell_angle_alpha 90.00
_cell_angle_beta 109.48
_cell_angle_gamma 90.00
loop_
_space_group_symop_operation_xyz
'x,y,z'
'-x,-y,-z'
'-x,y,-z+1/2'
'x,-y,z+1/2'
loop_
_atom_site_label
_atom_site_fract_x
_atom_site_fract_y
_atom_site_fract_z
Pm1 0.232 0.116 0.001
Pm2 0.237 0.358 0.485
Ga1 0.000 0.124 0.250
Te1 0.000 0.377 0.750
Te2 0.500 0.125 0.750
Te3 0.500 0.379 0.250
```